VASP calculation (GGA-PBE) on a relaxed Mg2SiH2 crystal.

Calculated values
Its crystal system is tetragonal. The calculation puts the uncorrected energy at -2.743 eV per atom. For the mass density, the calculation gives 2127 kg/m3. The value obtained for the distance to the lowest polymorph of the same formula is 349.5 meV/atom. The space group is No. 127.

```
Mg2SiH2
1.0
6.5325 0.0000 0.0000
0.0000 6.5325 0.0000
0.0000 0.0000 2.8800
H Mg Si
4 4 2
Cartesian
0.6984 2.5678 0.0000 H
5.8340 3.9647 0.0000 H
3.9647 0.6984 0.0000 H
2.5678 5.8340 0.0000 H
5.4673 2.2010 1.4400 Mg
1.0652 4.3314 1.4400 Mg
4.3314 5.4673 1.4400 Mg
2.2010 1.0652 1.4400 Mg
0.0000 0.0000 0.0000 Si
3.2662 3.2662 0.0000 Si
```